Computed, not measured: a relaxed structure of Er5Tl2Au2 at the PBE level of DFT.

a b c (Å): 8.8433 8.8433 7.2579
angles (deg): 90.00 90.00 58.16
Closest atoms and distances in Å follow each position.
Positions (direct):
Er 0.0000 0.0000 0.0000  2 Au 2.89
Er 0.0543 0.6900 0.6548  2 Au 2.91-2.98, 3 Tl 3.15-3.22
Er 0.1900 0.5543 0.1548  2 Au 2.91-2.98, 3 Tl 3.15-3.22
Er 0.3100 0.9457 0.6548  2 Au 2.91-2.98, 3 Tl 3.15-3.22
Er 0.4457 0.8100 0.1548  2 Au 2.91-2.98, 3 Tl 3.15-3.22
Er 0.5000 0.5000 0.5000  2 Au 2.89
Er 0.5543 0.1900 0.8452  2 Au 2.91-2.98, 3 Tl 3.15-3.22
Er 0.6900 0.0543 0.3452  2 Au 2.91-2.98, 3 Tl 3.15-3.22
Er 0.8100 0.4457 0.8452  2 Au 2.91-2.98, 3 Tl 3.15-3.22
Er 0.9457 0.3100 0.3452  2 Au 2.91-2.98, 3 Tl 3.15-3.22
Tl 0.2107 0.2107 0.0000  7 Er 3.15-3.26
Tl 0.2893 0.2893 0.5000  7 Er 3.15-3.26
Tl 0.7107 0.7107 0.5000  7 Er 3.15-3.26
Tl 0.7893 0.7893 0.0000  7 Er 3.15-3.26
Au 0.1298 0.8702 0.3667  5 Er 2.89-2.98, 1 Au 2.95
Au 0.3702 0.6298 0.8667  5 Er 2.89-2.98, 1 Au 2.95
Au 0.6298 0.3702 0.1333  5 Er 2.89-2.98, 1 Au 2.95
Au 0.8702 0.1298 0.6333  5 Er 2.89-2.98, 1 Au 2.95

DFT total energy	-4.310	eV/atom
formation enthalpy at 0 K	-0.5214	eV per atom



Computed, not measured: a relaxed structure of Ho3ScIn3Te8 at the PBE level of DFT.

a b c (Å): 9.3492 9.3492 9.3492
angles (deg): 55.23 55.23 55.23
Closest atoms and distances in Å follow each position.
Positions (direct):
Ho 0.0000 0.5000 0.5000  6 Te 3.07
Ho 0.5000 0.0000 0.5000  6 Te 3.07
Ho 0.5000 0.5000 0.0000  6 Te 3.07
Sc 0.0000 0.0000 0.0000  6 Te 2.98
In 0.0000 0.0000 0.5000  6 Te 3.31-3.32
In 0.0000 0.5000 0.0000  6 Te 3.31-3.32
In 0.5000 0.0000 0.0000  6 Te 3.31-3.32
Te 0.2343 0.2343 0.7494  1 Sc 2.98, 2 Ho 3.07, 2 In 3.32
Te 0.2343 0.7494 0.2343  1 Sc 2.98, 2 Ho 3.07, 2 In 3.32
Te 0.2506 0.7657 0.7657  1 Sc 2.98, 2 Ho 3.07, 2 In 3.32
Te 0.2580 0.2580 0.2580  3 Ho 3.07, 3 In 3.31
Te 0.7420 0.7420 0.7420  3 Ho 3.07, 3 In 3.31
Te 0.7494 0.2343 0.2343  1 Sc 2.98, 2 Ho 3.07, 2 In 3.32
Te 0.7657 0.2506 0.7657  1 Sc 2.98, 2 Ho 3.07, 2 In 3.32
Te 0.7657 0.7657 0.2506  1 Sc 2.98, 2 Ho 3.07, 2 In 3.32

DFT total energy	-4.534	eV/atom
formation energy (no corrections)	-0.973	eV per atom



Computed, not measured: a relaxed structure of InP2ClF at the PBE level of DFT.

a b c (Å): 4.1939 4.1939 5.9668
angles (deg): 90.00 90.00 90.00
Closest atoms and distances in Å follow each position.
Positions (direct):
In 0.0000 0.0000 0.0000  4 Cl 2.97
P 0.0000 0.5000 0.5000  2 F 2.10
P 0.5000 0.0000 0.5000  2 F 2.10
Cl 0.5000 0.5000 0.0000  4 In 2.97, 2 F 2.98
F 0.5000 0.5000 0.5000  4 P 2.10

energy relative to the lowest polymorph listed for this composition	0	meV per atom
DFT total energy	-3.225	eV/atom
formation energy (no corrections)	0.231	eV per atom



Computed, not measured: a relaxed structure of Th3GaRh at the PBE level of DFT.

a b c (Å): 7.7914 4.5470 8.1535
angles (deg): 90.00 112.91 90.00
Closest atoms and distances in Å follow each position.
Positions (direct):
Th 0.0573 0.2500 0.2225  3 Rh 3.06-3.09, 2 Ga 3.19
Th 0.3271 0.2500 0.9471  1 Rh 2.68
Th 0.3455 0.7500 0.6005  3 Rh 3.07-3.11, 3 Ga 3.18-3.27
Th 0.6545 0.2500 0.3995  3 Rh 3.07-3.11, 3 Ga 3.18-3.27
Th 0.6729 0.7500 0.0529  1 Rh 2.68
Th 0.9427 0.7500 0.7775  3 Rh 3.06-3.09, 2 Ga 3.19
Ga 0.3372 0.7500 0.2075  8 Th 3.09-3.32
Ga 0.6628 0.2500 0.7925  8 Th 3.09-3.32
Rh 0.0840 0.2500 0.6065  1 Th 2.68, 2 Rh 2.85
Rh 0.9160 0.7500 0.3935  1 Th 2.68, 2 Rh 2.85

DFT total energy	-7.027	eV/atom
formation enthalpy at 0 K	-0.4996	eV per atom



Q: Which value of DFT total energy does entry 3 give?
A: -3.225 eV/atom